The following is a DFT calculation (PBE) of an optimized crystal structure of ZrNi5.

a = 8.1638 Å, b = 3.6857 Å, c = 5.2414 Å
α = 90.00°, β = 108.02°, γ = 90.00°
Closest atoms and distances in Å follow each position.
Space group C2/m (No. 12)
Inequivalent atoms, fractional coordinates:
Zr (0.0000, 0.0000, 0.0000) [2 per cell]  12 Ni 2.62-2.67
Ni (0.0000, 0.0000, 0.5000) [2 per cell]  10 Ni 2.51-2.62, 2 Zr 2.62
Ni (0.1619, 0.5000, 0.8074) [4 per cell]  6 Ni 2.47-2.63, 3 Zr 2.63-2.64
Ni (0.1767, 0.5000, 0.3439) [4 per cell]  9 Ni 2.47-2.63, 2 Zr 2.67

Properties
DOS(E_F) ... 16.44 states/eV per cell
Energy of formation ... -1.431 eV per formula unit
V ... 150.0 Å³ per cell

---

The following is a DFT calculation (PBE) of an optimized crystal structure of LiTb4Zn2Ga.

a = 5.0888 Å, b = 5.0888 Å, c = 25.1441 Å
α = 90.00°, β = 90.00°, γ = 120.00°
Closest atoms and distances in Å follow each position.
Space group R-3m (No. 166, hexagonal axes)
Inequivalent atoms, fractional coordinates:
Li (0.0000, 0.0000, 0.0000) [3 per cell]  8 Tb 3.15-3.21
Tb (0.0000, 0.0000, 0.1275) [6 per cell]  3 Ga 3.10, 4 Zn 3.19-3.21, 1 Li 3.21
Tb (0.0000, 0.0000, 0.3781) [6 per cell]  4 Zn 3.06-3.09, 1 Ga 3.07, 3 Li 3.15
Zn (0.0000, 0.0000, 0.2551) [6 per cell]  8 Tb 3.06-3.21
Ga (0.0000, 0.0000, 0.5000) [3 per cell]  8 Tb 3.07-3.10

Properties
DOS(E_F) ... 27.26 states/eV per cell
Energy of formation ... -2.458 eV per formula unit
V ... 563.9 Å³ per cell

---

The following is a DFT calculation (PBE) of an optimized crystal structure of PmScHg.

a = 4.9653 Å, b = 4.9653 Å, c = 3.8157 Å
α = 90.00°, β = 90.00°, γ = 120.00°
Closest atoms and distances in Å follow each position.
Space group P3m1 (No. 156)
Inequivalent atoms, fractional coordinates:
Pm (0.0000, 0.0000, 0.0000) [1 per cell]  6 Hg 3.44-3.45, 6 Sc 3.44, 2 Pm 3.82
Sc (0.6667, 0.3333, 0.5003) [1 per cell]  3 Hg 2.87
Hg (0.3333, 0.6667, 0.4988) [1 per cell]  3 Sc 2.87

Properties
DOS(E_F) ... 4.88 states/eV per cell
Polymorph energy (0 for the lowest one) ... 0.063 eV per atom
Energy of formation ... -0.649 eV per formula unit
V ... 81.5 Å³ per cell

---

The following is a DFT calculation (PBE) of an optimized crystal structure of NdTmIn4.

a = 4.9520 Å, b = 5.2974 Å, c = 12.2485 Å
α = 90.00°, β = 90.00°, γ = 90.00°
Closest atoms and distances in Å follow each position.
Space group Cmmm (No. 65)
Inequivalent atoms, fractional coordinates:
Nd (0.0000, 0.0000, 0.0000) [2 per cell]  8 In 3.32-3.45, 4 Nd 3.63
Tm (0.0000, 0.5000, 0.5000) [2 per cell]  8 In 3.21-3.35
In (0.0000, 0.0000, 0.3328) [4 per cell]  4 In 3.10-3.24, 4 Tm 3.21-3.35
In (0.0000, 0.5000, 0.1810) [4 per cell]  4 In 3.10-3.24, 4 Nd 3.32-3.45

Properties
DOS(E_F) ... 9.14 states/eV per cell
Polymorph energy (0 for the lowest one) ... 0.065 eV per atom
Energy of formation ... -1.633 eV per formula unit
V ... 321.3 Å³ per cell

---

The following is a DFT calculation (PBE) of an optimized crystal structure of SmHoLu4.

a = 9.1981 Å, b = 9.1981 Å, c = 9.1981 Å
α = 90.00°, β = 90.00°, γ = 90.00°
Closest atoms and distances in Å follow each position.
Space group F-43m (No. 216)
Inequivalent atoms, fractional coordinates:
Sm (0.0000, 0.0000, 0.0000) [4 per cell]  12 Lu 3.81, 4 Ho 3.98
Ho (0.2500, 0.2500, 0.7500) [4 per cell]  12 Lu 3.81, 4 Sm 3.98
Lu (0.1247, 0.1247, 0.3753) [16 per cell]  6 Lu 3.25-3.26

Properties
DOS(E_F) ... 53.56 states/eV per cell
Energy of formation ... 1.719 eV per formula unit
V ... 778.2 Å³ per cell

---

The following is a DFT calculation (PBE) of an optimized crystal structure of AlTe2Pb.

a = 4.2139 Å, b = 4.2139 Å, c = 22.8630 Å
α = 90.00°, β = 90.00°, γ = 120.00°
Closest atoms and distances in Å follow each position.
Space group R-3m (No. 166, hexagonal axes)
Inequivalent atoms, fractional coordinates:
Al (0.0000, 0.0000, 0.0000) [3 per cell]  6 Te 2.91
Te (0.0000, 0.0000, 0.2638) [6 per cell]  3 Al 2.91
Pb (0.0000, 0.0000, 0.5000) [3 per cell]  6 Te 3.29

Properties
DOS(E_F) ... 7.00 states/eV per cell
V ... 351.6 Å³ per cell
E_form (uncorrected) ... -0.266 eV/atom